# 1
CdCoRu2 (SCAN, PBEsol geometry); ΔH_f (0 K) = 0.38 eV/atom; crystal system = tetragonal
1.0
2.681 0.000 0.000
0.000 2.681 0.000
0.000 0.000 7.652
Cd Co Ru
1 1 2
direct
0.000 0.000 0.000
0.000 0.000 0.500
0.500 0.500 0.286
0.500 0.500 0.714

***

# 2
CdCoS2 (SCAN, PBEsol geometry); uncorrected formation energy = -0.37 eV/atom; crystal system = trigonal
1.0
3.314 0.000 0.000
-1.657 2.870 0.000
0.000 0.000 22.015
Cd Co S
3 3 6
direct
0.000 0.000 0.000
0.333 0.667 0.667
0.667 0.333 0.333
0.000 0.000 0.500
0.333 0.667 0.167
0.667 0.333 0.833
0.000 0.000 0.116
0.000 0.000 0.884
0.333 0.667 0.551
0.333 0.667 0.783
0.667 0.333 0.217
0.667 0.333 0.449

***

# 3
CdCoSb2 (SCAN, PBEsol geometry); uncorrected formation energy = 0.53 eV/atom; crystal system = tetragonal
1.0
4.543 0.000 0.000
0.000 4.543 0.000
0.000 0.000 3.883
Cd Co Sb
1 1 2
direct
0.000 0.000 0.000
0.500 0.500 0.000
0.000 0.500 0.500
0.500 0.000 0.500

***

# 4
CdCoSb2 (SCAN, PBEsol geometry); uncorrected formation energy = 0.21 eV/atom; crystal system = orthorhombic
1.0
3.118 0.000 0.000
0.000 4.080 0.000
0.000 0.000 13.028
Cd Co Sb
2 2 4
direct
0.000 0.000 0.000
0.500 0.500 0.500
0.000 0.500 0.706
0.500 0.000 0.206
0.000 0.000 0.362
0.000 0.500 0.165
0.500 0.000 0.665
0.500 0.500 0.862

***

# 5
CdCoSb2 (SCAN, PBEsol geometry); uncorrected formation energy = 0.22 eV/atom; crystal system = tetragonal
1.0
3.127 0.000 0.000
0.000 3.127 0.000
0.000 0.000 8.404
Cd Co Sb
1 1 2
direct
0.000 0.000 0.000
0.000 0.000 0.500
0.500 0.500 0.314
0.500 0.500 0.686

***

# 6
CdCo2Sb (SCAN, PBEsol geometry); uncorrected formation energy = 0.29 eV/atom; polymorph energy (0 for the lowest one) = 0.0 meV per atom; crystal system = cubic
1.0
6.152 0.000 0.000
0.000 6.152 0.000
0.000 0.000 6.152
Cd Co Sb
4 8 4
direct
0.000 0.000 0.000
0.000 0.500 0.500
0.500 0.000 0.500
0.500 0.500 0.000
0.250 0.250 0.250
0.250 0.250 0.750
0.250 0.750 0.250
0.250 0.750 0.750
0.750 0.250 0.250
0.750 0.250 0.750
0.750 0.750 0.250
0.750 0.750 0.750
0.000 0.000 0.500
0.000 0.500 0.000
0.500 0.000 0.000
0.500 0.500 0.500

***

# 7
CdCo2Sb (SCAN, PBEsol geometry); uncorrected formation energy = 0.31 eV/atom; polymorph energy (0 for the lowest one) = 23.1 meV per atom; crystal system = tetragonal
1.0
3.084 0.000 0.000
0.000 3.084 0.000
0.000 0.000 6.213
Cd Co Sb
1 2 1
direct
0.000 0.000 0.000
0.500 0.500 0.277
0.500 0.500 0.723
0.000 0.000 0.500

***

# 8
CdCoSb2 (SCAN, PBEsol geometry); uncorrected formation energy = 0.50 eV/atom; crystal system = tetragonal
1.0
4.608 0.000 0.000
0.000 4.608 0.000
0.000 0.000 7.520
Cd Co Sb
2 2 4
direct
0.000 0.000 0.000
0.500 0.500 0.500
0.000 0.000 0.500
0.500 0.500 0.000
0.000 0.500 0.250
0.000 0.500 0.750
0.500 0.000 0.250
0.500 0.000 0.750

***

# 9
CdCo2Sb (SCAN, PBEsol geometry); uncorrected formation energy = 0.49 eV/atom; polymorph energy (0 for the lowest one) = 199.5 meV per atom; crystal system = monoclinic
1.0
7.890 0.000 0.000
0.000 3.021 0.000
-1.102 0.000 5.247
Cd Co Sb
2 4 2
direct
0.000 0.000 0.000
0.500 0.500 0.000
0.245 0.000 0.711
0.255 0.500 0.289
0.745 0.500 0.711
0.755 0.000 0.289
0.000 0.500 0.500
0.500 0.000 0.500

***

# 10
ScCd2Co (SCAN, PBEsol geometry); ΔH_f (0 K) = 0.17 eV/atom; crystal system = trigonal
1.0
3.003 0.000 0.000
-1.502 2.601 0.000
0.000 0.000 27.785
Sc Cd Co
3 6 3
direct
0.000 0.000 0.000
0.333 0.667 0.667
0.667 0.333 0.333
0.000 0.000 0.241
0.000 0.000 0.759
0.333 0.667 0.426
0.333 0.667 0.907
0.667 0.333 0.093
0.667 0.333 0.574
0.000 0.000 0.500
0.333 0.667 0.167
0.667 0.333 0.833

***

# 11
ScCd2Co (SCAN, PBEsol geometry); ΔH_f (0 K) = 0.00 eV/atom; crystal system = orthorhombic
1.0
3.934 0.000 0.000
0.000 4.062 0.000
0.000 0.000 8.519
Sc Cd Co
2 4 2
direct
0.000 0.000 0.000
0.500 0.500 0.500
0.000 0.500 0.247
0.000 0.500 0.753
0.500 0.000 0.253
0.500 0.000 0.747
0.000 0.000 0.500
0.500 0.500 0.000

***

# 12
CdCoSe2 (SCAN, PBEsol geometry); uncorrected formation energy = 0.13 eV/atom; crystal system = tetragonal
1.0
2.924 0.000 0.000
0.000 2.924 0.000
0.000 0.000 8.381
Cd Co Se
1 1 2
direct
0.000 0.000 0.000
0.500 0.500 0.231
0.000 0.000 0.372
0.500 0.500 0.736